No. 1
VASP calculation (PBE) on a relaxed GdPuHg2 crystal.

Summary:
Theoretical density ... 12.530 g/cm³
Space-group type ... Fm-3m, No. 225
ΔE to the lowest computed polymorph ... 0.011 eV per atom

abc: 5.3179 5.3179 5.3179
angles: 60.00 60.00 60.00
Element x y z (fractional)
Gd 0.5000 0.5000 0.5000
Hg 0.2500 0.2500 0.2500
Hg 0.7500 0.7500 0.7500
Pu 0.0000 0.0000 0.0000



No. 2
VASP calculation (PBE) on a relaxed NdMgNi2 crystal.

Summary:
Theoretical density ... 6.235 g/cm³
Space-group type ... Amm2, No. 38
Electronic total energy ... -4.7164 eV/atom

abc: 3.8663 3.9451 5.3537
angles: 90.00 111.16 90.00
Element x y z (fractional)
Mg 0.7216 0.0000 0.9823
Ni 0.1553 0.5000 0.8486
Ni 0.0203 0.0000 0.5796
Nd 0.4339 0.5000 0.4075



No. 3
VASP calculation (PBE) on a relaxed Li5Th4Ge6 crystal.

Summary:
Theoretical density ... 7.027 g/cm³
Space-group type ... Cmc2_1, No. 36
Electronic total energy ... -5.0071 eV/atom

abc: 4.4110 9.8607 15.5930
angles: 90.00 90.00 102.92
Element x y z (fractional)
Li 0.3404 0.6808 0.2650
Li 0.5614 0.1229 0.1707
Li 0.6966 0.3933 0.1265
Li 0.3034 0.6067 0.6265
Li 0.1625 0.3249 0.6265
Li 0.6515 0.3029 0.4862
Li 0.4386 0.8771 0.6707
Li 0.3485 0.6971 0.9862
Li 0.8375 0.6751 0.1265
Li 0.6596 0.3192 0.7650
Ge 0.4319 0.8638 0.4017
Ge 0.4409 0.8818 0.8524
Ge 0.5681 0.1362 0.9017
Ge 0.8948 0.7897 0.6256
Ge 0.5591 0.1182 0.3524
Ge 0.1052 0.2103 0.1256
Ge 0.2252 0.4505 0.7722
Ge 0.4294 0.8588 0.1281
Ge 0.5706 0.1412 0.6281
Ge 0.2211 0.4422 0.4816
Ge 0.7789 0.5578 0.9816
Ge 0.7748 0.5495 0.2722
Th 0.1696 0.3392 0.3020
Th 0.9651 0.9302 0.2593
Th 0.8304 0.6608 0.8020
Th 0.1770 0.3540 0.9539
Th 0.9781 0.9561 0.0038
Th 0.0349 0.0698 0.7593
Th 0.0219 0.0439 0.5038
Th 0.8230 0.6460 0.4539